First-principles (PBEsol) data for La3BRu after structural relaxation, as listed in Alexandria.

Cell lengths 5.0595, 5.0595, 5.0595 Å; angles 90.00, 90.00, 90.00 degrees
Last column: nearest neighbours and their distance in Å.
Fractional positions:
1 La 0.0000 0.0000 0.5000  2 B 2.53
2 La 0.0000 0.5000 0.0000  2 B 2.53
3 La 0.5000 0.0000 0.0000  2 B 2.53
4 B 0.0000 0.0000 0.0000  6 La 2.53
5 Ru 0.5000 0.5000 0.5000  12 La 3.58

* space-group type: Pm-3m, No. 221
* magnetic moment: 0.0 μB per cell
* crystal system: cubic
* E: -30.611 eV/cell
* volume: 25.9 Å³ per atom
* energy relative to the elements: 0.52 eV per atom

=====

First-principles (PBEsol) data for TlCrGa2Te after structural relaxation, as listed in Alexandria.

Cell lengths 5.1160, 5.1160, 6.0015 Å; angles 90.00, 90.00, 90.00 degrees
Last column: nearest neighbours and their distance in Å.
Fractional positions:
1 Tl 0.0000 0.0000 0.0000  4 Ga 2.56
2 Cr 0.5000 0.5000 0.5000  4 Te 3.62, 8 Ga 3.94
3 Ga 0.0000 0.5000 0.0000  2 Tl 2.56
4 Ga 0.5000 0.0000 0.0000  2 Tl 2.56
5 Te 0.0000 0.0000 0.5000  2 Tl 3.00

* uncorrected formation energy: 1.022 eV/atom
* space-group type: P4/mmm, No. 123
* magnetic moment: 4.9 μB per cell
* crystal system: tetragonal
* E: -17.967 eV/cell
* volume: 31.4 Å³ per atom

=====

First-principles (PBEsol) data for MgCr3Ru after structural relaxation, as listed in Alexandria.

Cell lengths 4.2614, 4.2614, 4.2614 Å; angles 90.00, 90.00, 90.00 degrees
Last column: nearest neighbours and their distance in Å.
Fractional positions:
1 Mg 0.0000 0.0000 0.0000  6 Cr 2.13
2 Cr 0.0000 0.0000 0.5000  2 Mg 2.13
3 Cr 0.0000 0.5000 0.0000  2 Mg 2.13
4 Cr 0.5000 0.0000 0.0000  2 Mg 2.13
5 Ru 0.5000 0.5000 0.5000  12 Cr 3.01

* space-group type: Pm-3m, No. 221
* magnetic moment: 4.7 μB per cell
* crystal system: cubic
* E: -30.759 eV/cell
* volume: 15.5 Å³ per atom
* energy relative to the elements: 2.37 eV per atom

=====

First-principles (PBEsol) data for LiZnI2Cl after structural relaxation, as listed in Alexandria.

Cell lengths 6.0523, 6.0523, 4.3340 Å; angles 90.00, 90.00, 90.00 degrees
Last column: nearest neighbours and their distance in Å.
Fractional positions:
1 Li 0.0000 0.0000 0.0000  2 Cl 2.17
2 Zn 0.5000 0.5000 0.0000  8 I 3.72
3 I 0.0000 0.5000 0.5000  2 Cl 3.03
4 I 0.5000 0.0000 0.5000  2 Cl 3.03
5 Cl 0.0000 0.0000 0.5000  2 Li 2.17

* uncorrected formation energy: -0.129 eV/atom
* space-group type: P4/mmm, No. 123
* magnetic moment: 0.0 μB per cell
* crystal system: tetragonal
* E: -9.735 eV/cell
* volume: 31.8 Å³ per atom

=====

First-principles (PBEsol) data for Ba2FeW after structural relaxation, as listed in Alexandria.

Cell lengths 3.3385, 3.3385, 9.8117 Å; angles 90.00, 90.00, 90.00 degrees
Last column: nearest neighbours and their distance in Å.
Fractional positions:
1 Ba 0.0000 0.0000 0.0000  1 Fe 3.23, 4 Ba 3.34, 4 W 3.58
2 Ba 0.5000 0.5000 0.4057  1 W 3.14, 4 Ba 3.34, 4 Fe 3.52
3 Fe 0.0000 0.0000 0.6712  4 W 2.42
4 W 0.5000 0.5000 0.7260  4 Fe 2.42

* space-group type: P4mm, No. 99
* magnetic moment: 0.6 μB per cell
* crystal system: tetragonal
* polymorph energy (0 for the lowest one): 0.000 eV/atom
* E: -24.191 eV/cell
* volume: 27.3 Å³ per atom
* energy relative to the elements: 0.72 eV per atom

=====

First-principles (PBEsol) data for Li2TaAlPb after structural relaxation, as listed in Alexandria.

Cell lengths 5.1029, 5.1029, 5.3628 Å; angles 90.00, 90.00, 90.00 degrees
Last column: nearest neighbours and their distance in Å.
Fractional positions:
1 Li 0.0000 0.5000 0.0000  2 Ta 2.55
2 Li 0.5000 0.0000 0.0000  2 Ta 2.55
3 Ta 0.0000 0.0000 0.0000  4 Li 2.55, 2 Pb 2.68
4 Al 0.5000 0.5000 0.5000  4 Pb 3.61, 8 Li 3.70
5 Pb 0.0000 0.0000 0.5000  2 Ta 2.68

* space-group type: P4/mmm, No. 123
* magnetic moment: 2.7 μB per cell
* crystal system: tetragonal
* E: -17.974 eV/cell
* volume: 27.9 Å³ per atom
* energy relative to the elements: 1.32 eV per atom

=====

First-principles (PBEsol) data for Tl3GaRe after structural relaxation, as listed in Alexandria.

Cell lengths 5.1954, 5.1954, 5.1954 Å; angles 90.00, 90.00, 90.00 degrees
Last column: nearest neighbours and their distance in Å.
Fractional positions:
1 Tl 0.0000 0.0000 0.5000  2 Ga 2.60
2 Tl 0.0000 0.5000 0.0000  2 Ga 2.60
3 Tl 0.5000 0.0000 0.0000  2 Ga 2.60
4 Ga 0.0000 0.0000 0.0000  6 Tl 2.60
5 Re 0.5000 0.5000 0.5000  12 Tl 3.67

* space-group type: Pm-3m, No. 221
* magnetic moment: 3.8 μB per cell
* crystal system: cubic
* E: -17.002 eV/cell
* volume: 28.0 Å³ per atom
* energy relative to the elements: 1.51 eV per atom

=====

First-principles (PBEsol) data for Li4MoO5 after structural relaxation, as listed in Alexandria.

Cell lengths 5.0232, 5.0232, 5.0232 Å; angles 99.95, 99.95, 130.87 degrees
Last column: nearest neighbours and their distance in Å.
Fractional positions:
1 Li 0.0994 0.3128 0.4122  6 O 1.96-2.20
2 Li 0.3128 0.9006 0.2134  6 O 1.96-2.20
3 Li 0.6872 0.0994 0.7866  6 O 1.96-2.20
4 Li 0.9006 0.6872 0.5878  6 O 1.96-2.20
5 Mo 0.4516 0.4516 0.0000  5 O 1.82-1.88
6 O 0.0169 0.0169 0.0000  1 Mo 1.82
7 O 0.2412 0.6045 0.8150  1 Mo 1.88, 3 Li 1.96-2.09
8 O 0.4261 0.2412 0.6367  1 Mo 1.88, 3 Li 1.96-2.09
9 O 0.6045 0.7894 0.3633  1 Mo 1.88, 3 Li 1.96-2.09
10 O 0.7894 0.4261 0.1850  1 Mo 1.88, 3 Li 1.96-2.09

* uncorrected formation energy: -2.135 eV/atom
* space-group type: I4, No. 79
* magnetic moment: 0.0 μB per cell
* crystal system: tetragonal
* polymorph energy (0 for the lowest one): 0.021 eV/atom
* E: -67.228 eV/cell
* volume: 8.7 Å³ per atom

=====

First-principles (PBEsol) data for PrSi2Mo2C after structural relaxation, as listed in Alexandria.

Cell lengths 4.1920, 4.1920, 5.3969 Å; angles 90.00, 90.00, 90.00 degrees
Last column: nearest neighbours and their distance in Å.
Fractional positions:
1 Pr 0.0000 0.0000 0.0000  2 C 2.70
2 Si 0.5000 0.5000 0.2231  1 Si 2.41, 4 Mo 2.57
3 Si 0.5000 0.5000 0.7769  1 Si 2.41, 4 Mo 2.57
4 Mo 0.0000 0.5000 0.5000  2 C 2.10
5 Mo 0.5000 0.0000 0.5000  2 C 2.10
6 C 0.0000 0.0000 0.5000  4 Mo 2.10

* uncorrected formation energy: -0.513 eV/atom
* space-group type: P4/mmm, No. 123
* magnetic moment: 0.0 μB per cell
* crystal system: tetragonal
* E: -52.938 eV/cell
* volume: 15.8 Å³ per atom

=====

First-principles (PBEsol) data for RbLiP2Au after structural relaxation, as listed in Alexandria.

Cell lengths 5.2964, 5.2964, 4.5990 Å; angles 90.00, 90.00, 90.00 degrees
Last column: nearest neighbours and their distance in Å.
Fractional positions:
1 Rb 0.0000 0.0000 0.0000  2 Li 2.30
2 Li 0.0000 0.0000 0.5000  2 Rb 2.30
3 P 0.0000 0.5000 0.0000  2 Rb 2.65
4 P 0.5000 0.0000 0.0000  2 Rb 2.65
5 Au 0.5000 0.5000 0.5000  8 P 3.51, 4 Li 3.75

* space-group type: P4/mmm, No. 123
* magnetic moment: 0.0 μB per cell
* crystal system: tetragonal
* E: -10.390 eV/cell
* volume: 25.8 Å³ per atom
* energy relative to the elements: 1.62 eV per atom

=====

First-principles (PBEsol) data for Re2TeW after structural relaxation, as listed in Alexandria.

Cell lengths 8.9544, 8.9544, 8.9544 Å; angles 18.87, 18.87, 18.87 degrees
Last column: nearest neighbours and their distance in Å.
Fractional positions:
1 Re 0.0000 0.0000 0.0000  9 Re 2.67-2.94, 3 W 2.75
2 Re 0.2552 0.2552 0.2552  9 Re 2.67-2.94, 3 Te 2.84
3 Te 0.5019 0.5019 0.5019  3 W 2.84, 3 Re 2.84, 6 Te 2.94
4 W 0.7487 0.7487 0.7487  3 Re 2.75, 3 Te 2.84, 6 W 2.94

* uncorrected formation energy: 0.564 eV/atom
* space-group type: R3m, No. 160
* magnetic moment: 0.0 μB per cell
* crystal system: trigonal
* E: -41.740 eV/cell
* volume: 16.4 Å³ per atom

=====

First-principles (PBEsol) data for AlTlSbF2 after structural relaxation, as listed in Alexandria.

Cell lengths 4.3263, 4.3263, 5.7949 Å; angles 90.00, 90.00, 90.00 degrees
Last column: nearest neighbours and their distance in Å.
Fractional positions:
1 Al 0.0000 0.0000 0.0000  2 Sb 2.90, 4 Tl 3.06
2 Tl 0.5000 0.5000 0.0000  4 Al 3.06
3 Sb 0.0000 0.0000 0.5000  4 F 2.16
4 F 0.0000 0.5000 0.5000  2 Sb 2.16
5 F 0.5000 0.0000 0.5000  2 Sb 2.16

* uncorrected formation energy: -0.958 eV/atom
* space-group type: P4/mmm, No. 123
* magnetic moment: 0.0 μB per cell
* crystal system: tetragonal
* E: -19.926 eV/cell
* volume: 21.7 Å³ per atom

=====

First-principles (PBEsol) data for Tl2HgPb after structural relaxation, as listed in Alexandria.

Cell lengths 6.2944, 6.2944, 6.2944 Å; angles 144.82, 130.25, 62.39 degrees
Last column: nearest neighbours and their distance in Å.
Fractional positions:
1 Tl 0.2372 0.2372 0.0000  2 Hg 3.18, 4 Tl 3.27, 2 Pb 3.41
2 Tl 0.7628 0.7628 0.0000  2 Hg 3.18, 4 Tl 3.27, 2 Pb 3.41
3 Hg 0.0000 0.5000 0.5000  4 Tl 3.18, 4 Pb 3.26
4 Pb 0.5000 0.0000 0.5000  4 Hg 3.26, 4 Tl 3.41

* space-group type: Immm, No. 71
* magnetic moment: 0.0 μB per cell
* crystal system: orthorhombic
* E: -9.811 eV/cell
* volume: 27.1 Å³ per atom
* energy relative to the elements: 0.00 eV per atom